Record 1
# AlPb3Cl PBE-GGA optimized geometry
# calculated density	6.6	g/cm3
# distance to the lowest polymorph of the same formula	1.13	eV per formula unit
# crystal system	cubic
data_AlPb3Cl
_space_group_name_H-M_alt 'P m -3 m'
_space_group_IT_number 221
_space_group_name_Hall '-P 4 2 3'
_cell_length_a 5.566
_cell_length_b 5.566
_cell_length_c 5.566
_cell_angle_alpha 90.00
_cell_angle_beta 90.00
_cell_angle_gamma 90.00
loop_
_atom_site_label
_atom_site_type_symbol
_atom_site_fract_x
_atom_site_fract_y
_atom_site_fract_z
_atom_site_occupancy
Al1 Al 0.000 0.000 0.000 1
Pb1 Pb 0.000 0.500 0.500 1
Cl1 Cl 0.500 0.500 0.500 1

Record 2
# Sm4PPtCl2 PBE-GGA optimized geometry
# uncorrected energy	-5.673	eV per atom
# calculated density	7.3	g/cm3
# crystal system	monoclinic
data_Sm4PPtCl2
_space_group_name_H-M_alt 'P 1 2/m 1'
_space_group_IT_number 10
_cell_length_a 7.209
_cell_length_b 4.036
_cell_length_c 7.385
_cell_angle_alpha 90.00
_cell_angle_beta 108.15
_cell_angle_gamma 90.00
loop_
_space_group_symop_operation_xyz
'x,y,z'
'-x,-y,-z'
'-x,y,-z'
'x,-y,z'
loop_
_atom_site_label
_atom_site_type_symbol
_atom_site_fract_x
_atom_site_fract_y
_atom_site_fract_z
_atom_site_occupancy
Sm1 Sm 0.219 0.000 0.235 1
Sm2 Sm 0.223 0.500 0.734 1
P1 P 0.000 0.000 0.500 1
Pt1 Pt 0.000 0.500 0.000 1
Cl1 Cl 0.500 0.000 0.000 1
Cl2 Cl 0.500 0.500 0.500 1

Record 3
# YSn2Ir PBE-GGA optimized geometry
# uncorrected energy	-5.997	eV per atom
# calculated density	9.0	g/cm3
# crystal system	tetragonal
data_YSn2Ir
_space_group_name_H-M_alt 'I -4 2 d'
_space_group_IT_number 122
_space_group_name_Hall 'I -4 2bw'
_cell_length_a 4.311
_cell_length_b 4.311
_cell_length_c 20.681
_cell_angle_alpha 90.00
_cell_angle_beta 90.00
_cell_angle_gamma 90.00
loop_
_atom_site_label
_atom_site_type_symbol
_atom_site_fract_x
_atom_site_fract_y
_atom_site_fract_z
_atom_site_occupancy
Y1 Y 0.000 0.000 0.000 1
Sn1 Sn 0.221 0.250 0.625 1
Ir1 Ir 0.000 0.000 0.500 1

Record 4
# TbTm2Au PBE-GGA optimized geometry
# calculated density	10.4	g/cm3
# distance to the lowest polymorph of the same formula	0.00	eV per formula unit
# crystal system	orthorhombic
data_TbTm2Au
_space_group_name_H-M_alt 'P n m a'
_space_group_IT_number 62
_cell_length_a 6.911
_cell_length_b 9.643
_cell_length_c 6.624
_cell_angle_alpha 90.00
_cell_angle_beta 90.00
_cell_angle_gamma 90.00
loop_
_space_group_symop_operation_xyz
'x,y,z'
'-x,-y,-z'
'-x+1/2,-y,z+1/2'
'x+1/2,y,-z+1/2'
'x+1/2,-y+1/2,-z+1/2'
'-x+1/2,y+1/2,z+1/2'
'-x,y+1/2,-z'
'x,-y+1/2,z'
loop_
_atom_site_label
_atom_site_type_symbol
_atom_site_fract_x
_atom_site_fract_y
_atom_site_fract_z
_atom_site_occupancy
Tb1 Tb 0.008 0.250 0.116 1
Tm1 Tm 0.195 0.054 0.694 1
Au1 Au 0.089 0.750 0.455 1

Record 5
# HfC3S PBE-GGA optimized geometry
# calculated density	5.0	g/cm3
# distance to the lowest polymorph of the same formula	4.16	eV per formula unit
# crystal system	cubic
data_HfC3S
_space_group_name_H-M_alt 'P m -3 m'
_space_group_IT_number 221
_space_group_name_Hall '-P 4 2 3'
_cell_length_a 4.354
_cell_length_b 4.354
_cell_length_c 4.354
_cell_angle_alpha 90.00
_cell_angle_beta 90.00
_cell_angle_gamma 90.00
loop_
_atom_site_label
_atom_site_type_symbol
_atom_site_fract_x
_atom_site_fract_y
_atom_site_fract_z
_atom_site_occupancy
Hf1 Hf 0.000 0.000 0.000 1
C1 C 0.000 0.000 0.500 1
S1 S 0.500 0.500 0.500 1

Record 6
# Tb12ErSc7 PBE-GGA optimized geometry
# calculated density	6.0	g/cm3
# distance to the lowest polymorph of the same formula	10.21	eV per formula unit
# crystal system	cubic
data_Tb12ErSc7
_space_group_name_H-M_alt 'I m -3'
_space_group_IT_number 204
_space_group_name_Hall '-I 2 2 3'
_cell_length_a 10.984
_cell_length_b 10.984
_cell_length_c 10.984
_cell_angle_alpha 90.00
_cell_angle_beta 90.00
_cell_angle_gamma 90.00
loop_
_atom_site_label
_atom_site_type_symbol
_atom_site_fract_x
_atom_site_fract_y
_atom_site_fract_z
_atom_site_occupancy
Tb1 Tb 0.000 0.257 0.259 1
Er1 Er 0.000 0.000 0.000 1
Sc1 Sc 0.000 0.000 0.500 1
Sc2 Sc 0.250 0.250 0.250 1

Record 7
# TbSmY2 PBE-GGA optimized geometry
# calculated density	6.2	g/cm3
# distance to the lowest polymorph of the same formula	0.01	eV per formula unit
# crystal system	trigonal
data_TbSmY2
_space_group_name_H-M_alt 'R 3 m'
_space_group_IT_number 160
_space_group_name_Hall 'R 3 -2"'
_cell_length_a 3.6059
_cell_length_b 3.6059
_cell_length_c 34.7560
_cell_angle_alpha 90.00
_cell_angle_beta 90.00
_cell_angle_gamma 120.00
loop_
_atom_site_label
_atom_site_type_symbol
_atom_site_fract_x
_atom_site_fract_y
_atom_site_fract_z
_atom_site_occupancy
Tb1 Tb 0.0000 0.0000 0.0000 1
Sm1 Sm 0.0000 0.0000 0.1660 1
Y1 Y 0.0000 0.0000 0.4159 1
Y2 Y 0.0000 0.0000 0.5838 1

Record 8
# RbAl2Au2 PBE-GGA optimized geometry
# calculated density	8.5	g/cm3
# distance to the lowest polymorph of the same formula	0.83	eV per formula unit
# crystal system	tetragonal
data_RbAl2Au2
_space_group_name_H-M_alt 'P 4/m b m'
_space_group_IT_number 127
_space_group_name_Hall '-P 4 2ab'
_cell_length_a 8.573
_cell_length_b 8.573
_cell_length_c 2.850
_cell_angle_alpha 90.00
_cell_angle_beta 90.00
_cell_angle_gamma 90.00
loop_
_atom_site_label
_atom_site_type_symbol
_atom_site_fract_x
_atom_site_fract_y
_atom_site_fract_z
_atom_site_occupancy
Rb1 Rb 0.000 0.000 0.000 1
Al1 Al 0.125 0.375 0.000 1
Au1 Au 0.160 0.660 0.500 1

Record 9
# BaNaAgSn PBE-GGA optimized geometry
# uncorrected energy	-2.818	eV per atom
# calculated density	5.7	g/cm3
# crystal system	cubic
data_BaNaAgSn
_space_group_name_H-M_alt 'F -4 3 m'
_space_group_IT_number 216
_space_group_name_Hall 'F -4 2 3'
_cell_length_a 7.652
_cell_length_b 7.652
_cell_length_c 7.652
_cell_angle_alpha 90.00
_cell_angle_beta 90.00
_cell_angle_gamma 90.00
loop_
_atom_site_label
_atom_site_type_symbol
_atom_site_fract_x
_atom_site_fract_y
_atom_site_fract_z
_atom_site_occupancy
Ba1 Ba 0.000 0.000 0.000 1
Na1 Na 0.250 0.250 0.750 1
Ag1 Ag 0.250 0.250 0.250 1
Sn1 Sn 0.000 0.000 0.500 1

Record 10
# Pr2HfScP4 PBE-GGA optimized geometry
# uncorrected energy	-7.376	eV per atom
# calculated density	6.0	g/cm3
# crystal system	monoclinic
data_Pr2HfScP4
_space_group_name_H-M_alt 'P 1 2/m 1'
_space_group_IT_number 10
_cell_length_a 6.836
_cell_length_b 3.948
_cell_length_c 6.879
_cell_angle_alpha 90.00
_cell_angle_beta 109.25
_cell_angle_gamma 90.00
loop_
_space_group_symop_operation_xyz
'x,y,z'
'-x,-y,-z'
'-x,y,-z'
'x,-y,z'
loop_
_atom_site_label
_atom_site_type_symbol
_atom_site_fract_x
_atom_site_fract_y
_atom_site_fract_z
_atom_site_occupancy
Pr1 Pr 0.000 0.000 0.000 1
Pr2 Pr 0.500 0.500 0.000 1
Hf1 Hf 0.000 0.500 0.500 1
Sc1 Sc 0.500 0.000 0.500 1
P1 P 0.238 0.000 0.720 1
P2 P 0.257 0.500 0.280 1

Record 11
# CsSr2Ca PBE-GGA optimized geometry
# calculated density	2.5	g/cm3
# distance to the lowest polymorph of the same formula	0.36	eV per formula unit
# crystal system	tetragonal
data_CsSr2Ca
_space_group_name_H-M_alt 'P 4/m m m'
_space_group_IT_number 123
_space_group_name_Hall '-P 4 2'
_cell_length_a 7.133
_cell_length_b 7.133
_cell_length_c 4.537
_cell_angle_alpha 90.00
_cell_angle_beta 90.00
_cell_angle_gamma 90.00
loop_
_atom_site_label
_atom_site_type_symbol
_atom_site_fract_x
_atom_site_fract_y
_atom_site_fract_z
_atom_site_occupancy
Cs1 Cs 0.000 0.000 0.000 1
Sr1 Sr 0.000 0.500 0.500 1
Ca1 Ca 0.500 0.500 0.000 1

Record 12
# Mg2SnAu2 PBE-GGA optimized geometry
# calculated density	9.1	g/cm3
# distance to the lowest polymorph of the same formula	0.46	eV per formula unit
# crystal system	tetragonal
data_Mg2SnAu2
_space_group_name_H-M_alt 'P 4/m b m'
_space_group_IT_number 127
_space_group_name_Hall '-P 4 2ab'
_cell_length_a 7.996
_cell_length_b 7.996
_cell_length_c 3.189
_cell_angle_alpha 90.00
_cell_angle_beta 90.00
_cell_angle_gamma 90.00
loop_
_atom_site_label
_atom_site_type_symbol
_atom_site_fract_x
_atom_site_fract_y
_atom_site_fract_z
_atom_site_occupancy
Mg1 Mg 0.137 0.363 0.000 1
Sn1 Sn 0.000 0.000 0.000 1
Au1 Au 0.156 0.656 0.500 1

Question: calculated density of number 5 (HfC3S)?
Answer: 5.0 g/cm3